Density functional theory data (PBE) for a relaxed AcErSnAu crystal.

Cell and atoms, written as POSCAR:
```
AcErSnAu
1.0
5.453 0.000 0.000
2.726 4.722 0.000
2.726 1.574 4.452
Au Ac Er Sn
1 1 1 1
Direct
0.750 0.750 0.750
0.500 0.500 0.500
0.000 0.000 0.000
0.250 0.250 0.250
```

Summary:
Space group: F-43m (216)
Energy of formation from the pure elements: -244 kJ/mol of formula units
DFT total energy: -4.621 eV per atom